# CaNdGe2, optimized geometry, DFT PBE-GGA
# - final energy (eV per atom) = -4.73
# - magnetization (μB/f.u.) = 0.0
# - ΔH_f (0 K) (meV per atom) = -733
# - crystal system = orthorhombic
data_CaNdGe2
_chemical_formula_sum 'Ca2 Nd2 Ge4'
_space_group_name_H-M_alt 'P m c 21'
_space_group_IT_number 26
_cell_length_a 4.0134
_cell_length_b 5.9419
_cell_length_c 8.3913
_cell_angle_alpha 90.00
_cell_angle_beta 90.00
_cell_angle_gamma 90.00
loop_
_space_group_symop_operation_xyz
'x,y,z'
'-x,-y,z+1/2'
'-x,y,z'
'x,-y,z+1/2'
loop_
_atom_site_label
_atom_site_type_symbol
_atom_site_fract_x
_atom_site_fract_y
_atom_site_fract_z
Ca1 Ca 0.0000 0.1340 0.0000
Nd1 Nd 0.5000 0.3606 0.6384
Ge1 Ge 0.0000 0.3902 0.3578
Ge2 Ge 0.5000 0.1224 0.2818